# 1
Nd2Ho8Zn | PBE | relaxed

Cell: 19.137 5.490 6.410 Å, 90.00 94.27 90.00°
Space group C2/m (No. 12)
One atom of each set of equivalent atoms:
Nd 0.242 0.000 0.329 (multiplicity 4)
Ho 0.041 0.000 0.255 (multiplicity 4)
Ho 0.076 0.500 0.610 (multiplicity 4)
Ho 0.154 0.000 0.813 (multiplicity 4)
Ho 0.154 0.500 0.124 (multiplicity 4)
Zn 0.000 0.500 0.000 (multiplicity 2)

Results
The total moment comes out at 0.00 μB per formula unit. The volume is 30.5 A^3/atom. The calculation puts the density of states at the Fermi level at 1.565 states/eV/atom. The calculation puts the formation energy at -0.01 eV per atom.

---

# 2
Fe6IrRh | PBE | relaxed

Cell: 5.902 5.902 2.942 Å, 90.00 90.00 90.00°
Space group P4/mmm (No. 123)
One atom of each set of equivalent atoms:
Fe 0.000 0.500 0.000 (multiplicity 2)
Fe 0.249 0.249 0.500 (multiplicity 4)
Ir 0.500 0.500 0.000 (multiplicity 1)
Rh 0.000 0.000 0.000 (multiplicity 1)

Results
The total moment comes out at 18.30 μB per formula unit. The volume is 12.8 A^3/atom. The calculation puts the density of states at the Fermi level at 0.445 states/eV/atom. The calculation puts the formation energy at -0.03 eV per atom.